Compound: Ba2ScAlO5
Source: the Alexandria database
Functional: GGA-PBEsol
Structure: optimized geometry

Unit cell a=5.759 b=5.792 c=14.445 alpha=89.48 beta=90.00 gamma=119.81
Element x y z (fractional)
Ba 0.988 0.975 0.758
Ba 0.018 0.037 0.250
Ba 0.339 0.678 0.100
Ba 0.672 0.344 0.935
Ba 0.662 0.324 0.561
Ba 0.336 0.672 0.401
Sc 0.001 0.002 0.491
Sc 0.008 0.016 0.008
Sc 0.331 0.662 0.639
Al 0.691 0.382 0.345
Al 0.694 0.388 0.152
Al 0.349 0.697 0.873
O 0.142 0.801 0.573
O 0.141 0.283 0.609
O 0.659 0.801 0.573
O 0.828 0.189 0.411
O 0.844 0.689 0.405
O 0.362 0.189 0.411
O 0.835 0.202 0.085
O 0.850 0.700 0.092
O 0.367 0.202 0.085
O 0.162 0.827 0.924
O 0.173 0.345 0.887
O 0.665 0.827 0.924
O 0.420 0.840 0.761
O 0.508 0.444 0.248
O 0.937 0.444 0.248

Properties
* energy relative to the elements, uncorrected: -3.026 eV per atom
* space-group type: No. 8
* total moment: 0.00 μB/f.u.